Material: Rb2MoRhF6
Method: DFT, GGA+U
State: optimized geometry

```
data_Rb2MoRhF6
_symmetry_space_group_name_H-M 'I 4/m m m'
_symmetry_Int_Tables_number 139
_symmetry_space_group_name_Hall '-I 4 2'
_cell_length_a 6.2715
_cell_length_b 6.2715
_cell_length_c 9.0929
_cell_angle_alpha 90.00
_cell_angle_beta 90.00
_cell_angle_gamma 90.00
loop_
_atom_site_label
_atom_site_type_symbol
_atom_site_fract_x
_atom_site_fract_y
_atom_site_fract_z
Rb1 Rb 0.0000 0.5000 0.2500
Mo1 Mo 0.0000 0.0000 0.0000
Rh1 Rh 0.0000 0.0000 0.5000
F1 F 0.0000 0.0000 0.2308
F2 F 0.2374 0.2374 0.0000
```

Computed properties:
total moment = 4.52 μB per cell
total energy = -4.88 eV per atom